! HfCrO2, optimized geometry, DFT PBE with a Hubbard U; values from VASP
&SYSTEM
  ibrav = 0, nat = 4, ntyp = 3
/
ATOMIC_SPECIES
Cr 52.00 Cr.upf
Hf 178.49 Hf.upf
O 16.00 O.upf
CELL_PARAMETERS angstrom
0.000 2.785 2.785
2.785 0.000 2.785
2.785 2.785 0.000
ATOMIC_POSITIONS crystal
Cr 0.000 0.000 0.000
Hf 0.500 0.500 0.500
O 0.250 0.250 0.250
O 0.750 0.750 0.750
! total moment	4.01	Bohr magnetons per cell
! E	-32.6	eV per cell
! density	10.1	g/cm³
! D(E_F)	2.05	states/eV/f.u.